VAgI2O after structural relaxation. Source: the Alexandria database, functional PBE+U.

## Properties
- DOS(E_F) (states/eV per cell) = 6.6
- total DFT energy (no corrections) (eV per cell) = -15.78
- calculated volume (Å³/f.u.) = 133
- spin magnetization (μB per cell) = 2.77
- distance to the lowest polymorph of the same formula (meV/atom) = 985
- crystal system = tetragonal

Cell: 5.753 5.753 4.008 Å, 90.00 90.00 90.00°
Space group P4/mmm (No. 123)
One atom of each set of equivalent atoms:
V (0.000, 0.000, 0.000) [1 per cell]
Ag (0.500, 0.500, 0.500) [1 per cell]
I (0.000, 0.500, 0.500) [2 per cell]
O (0.500, 0.500, 0.000) [1 per cell]